Here is an optimized crystal structure of Er4Sb2Pd from the Alexandria database. Energies are from PBE.

a = 7.8250 Å, b = 7.8327 Å, c = 7.8405 Å
α = 105.51°, β = 111.46°, γ = 111.42°
Element x y z (fractional)
Er 0.0000 0.0000 0.0000
Er 0.0309 0.5162 0.0162
Er 0.1365 0.2776 0.6712
Er 0.3912 0.6708 0.5327
Er 0.4991 0.1224 0.8769
Er 0.5317 0.1397 0.3941
Er 0.6366 0.7943 0.1539
Er 0.8912 0.6564 0.5477
Sb 0.1246 0.8973 0.3835
Sb 0.4051 0.3976 0.1644
Sb 0.6241 0.5064 0.7742
Sb 0.9048 0.2873 0.2743
Pd 0.2633 0.7720 0.8982
Pd 0.7641 0.0210 0.6493

=====

Here is an optimized crystal structure of LaZrSc2 from the Alexandria database. Energies are from PBE.

Values from the calculation:
polymorph energy (0 for the lowest one) = 42 meV/atom
ΔE_f = 94 meV per atom

a = 5.6599 Å, b = 5.6599 Å, c = 5.6599 Å
α = 129.42°, β = 129.42°, γ = 74.34°
Element x y z (fractional)
La 0.0000 0.0000 0.0000
Zr 0.5000 0.5000 0.0000
Sc 0.2500 0.7500 0.5000
Sc 0.7500 0.2500 0.5000

=====

Here is an optimized crystal structure of LaSm4Ho15 from the Alexandria database. Energies are from PBE.

Values from the calculation:
ΔE_f = 22 meV per atom

a = 5.0368 Å, b = 5.0368 Å, c = 25.0927 Å
α = 90.00°, β = 90.00°, γ = 90.00°
Element x y z (fractional)
La 0.0000 0.0000 0.0000
Sm 0.0000 0.0000 0.2007
Sm 0.0000 0.0000 0.4004
Sm 0.0000 0.0000 0.5996
Sm 0.0000 0.0000 0.7993
Ho 0.0000 0.5000 0.1018
Ho 0.0000 0.5000 0.3008
Ho 0.0000 0.5000 0.5000
Ho 0.0000 0.5000 0.6992
Ho 0.0000 0.5000 0.8982
Ho 0.5000 0.0000 0.1018
Ho 0.5000 0.0000 0.3008
Ho 0.5000 0.0000 0.5000
Ho 0.5000 0.0000 0.6992
Ho 0.5000 0.0000 0.8982
Ho 0.5000 0.5000 0.0000
Ho 0.5000 0.5000 0.2014
Ho 0.5000 0.5000 0.4003
Ho 0.5000 0.5000 0.5997
Ho 0.5000 0.5000 0.7986

=====

Here is an optimized crystal structure of K4H3O5 from the Alexandria database. Energies are from PBE.

a = 6.9964 Å, b = 6.9964 Å, c = 6.7709 Å
α = 97.48°, β = 97.48°, γ = 33.61°
Element x y z (fractional)
K 0.1227 0.1227 0.4395
K 0.1599 0.1599 0.9402
K 0.8401 0.8401 0.0598
K 0.8773 0.8773 0.5605
H 0.0000 0.0000 0.0000
H 0.4553 0.4553 0.1526
H 0.5447 0.5447 0.8474
O 0.3048 0.3048 0.2815
O 0.4196 0.4196 0.3078
O 0.5000 0.5000 0.0000
O 0.5804 0.5804 0.6922
O 0.6952 0.6952 0.7185

=====

Here is an optimized crystal structure of SrPb2NO from the Alexandria database. Energies are from PBE.

a = 6.1457 Å, b = 6.1457 Å, c = 4.1602 Å
α = 90.00°, β = 90.00°, γ = 90.00°
Element x y z (fractional)
Sr 0.0000 0.0000 0.0000
Pb 0.0000 0.5000 0.0000
Pb 0.5000 0.0000 0.0000
N 0.0000 0.0000 0.5000
O 0.5000 0.5000 0.5000

=====

Here is an optimized crystal structure of Cd3Si from the Alexandria database. Energies are from PBE.

Values from the calculation:
polymorph energy (0 for the lowest one) = 0 meV/atom

a = 12.0110 Å, b = 12.0110 Å, c = 12.0110 Å
α = 13.88°, β = 13.88°, γ = 13.88°
Element x y z (fractional)
Cd 0.0000 0.0000 0.0000
Cd 0.2447 0.2447 0.2447
Cd 0.7553 0.7553 0.7553
Si 0.5000 0.5000 0.5000

=====

Here is an optimized crystal structure of Ba3Ta2HgO9 from the Alexandria database. Energies are from PBE.

a = 5.9765 Å, b = 5.9765 Å, c = 7.4566 Å
α = 90.00°, β = 90.00°, γ = 120.00°
Element x y z (fractional)
Ba 0.0000 0.0000 0.0000
Ba 0.3333 0.6667 0.6659
Ba 0.6667 0.3333 0.3341
Ta 0.3333 0.6667 0.1639
Ta 0.6667 0.3333 0.8361
Hg 0.0000 0.0000 0.5000
O 0.0000 0.5000 0.0000
O 0.1780 0.3559 0.3070
O 0.1780 0.8220 0.3070
O 0.3559 0.1780 0.6930
O 0.5000 0.0000 0.0000
O 0.5000 0.5000 0.0000
O 0.6441 0.8220 0.3070
O 0.8220 0.1780 0.6930
O 0.8220 0.6441 0.6930

=====

Here is an optimized crystal structure of Ac5Cd2Co2 from the Alexandria database. Energies are from PBE.

Values from the calculation:
ΔE_f = -72 meV per atom

a = 9.1249 Å, b = 9.1249 Å, c = 5.9599 Å
α = 98.26°, β = 98.26°, γ = 36.94°
Element x y z (fractional)
Ac 0.0000 0.0000 0.0000
Ac 0.1640 0.1640 0.5074
Ac 0.3353 0.3353 0.0515
Ac 0.6647 0.6647 0.9485
Ac 0.8360 0.8360 0.4926
Cd 0.4454 0.4454 0.6448
Cd 0.5546 0.5546 0.3552
Co 0.1612 0.1612 0.0151
Co 0.8388 0.8388 0.9849

=====

Here is an optimized crystal structure of CaSnBrO2 from the Alexandria database. Energies are from PBE.

a = 4.4521 Å, b = 4.4521 Å, c = 5.2837 Å
α = 90.00°, β = 90.00°, γ = 90.00°
Element x y z (fractional)
Ca 0.0000 0.0000 0.0000
Sn 0.5000 0.5000 0.0000
Br 0.0000 0.0000 0.5000
O 0.0000 0.5000 0.5000
O 0.5000 0.0000 0.5000

=====

Here is an optimized crystal structure of Pr2NdTe4 from the Alexandria database. Energies are from PBE.

Values from the calculation:
polymorph energy (0 for the lowest one) = 2 meV/atom

a = 7.7707 Å, b = 7.7707 Å, c = 15.3971 Å
α = 90.00°, β = 90.00°, γ = 147.24°
Element x y z (fractional)
Pr 0.1318 0.8682 0.5697
Pr 0.1318 0.8682 0.9303
Pr 0.8682 0.1318 0.0697
Pr 0.8682 0.1318 0.4303
Nd 0.3737 0.6263 0.7500
Nd 0.6263 0.3737 0.2500
Te 0.0293 0.9707 0.7500
Te 0.2203 0.7797 0.1244
Te 0.2203 0.7797 0.3756
Te 0.5000 0.5000 0.0000
Te 0.5000 0.5000 0.5000
Te 0.7797 0.2203 0.6244
Te 0.7797 0.2203 0.8756
Te 0.9707 0.0293 0.2500

=====

Here is an optimized crystal structure of Sm2US6 from the Alexandria database. Energies are from PBE.

Values from the calculation:
polymorph energy (0 for the lowest one) = 0 meV/atom

a = 6.6139 Å, b = 7.0739 Å, c = 11.0681 Å
α = 90.00°, β = 118.68°, γ = 90.00°
Element x y z (fractional)
Sm 0.1730 0.0980 0.2290
Sm 0.1730 0.4020 0.7290
Sm 0.8270 0.5980 0.2710
Sm 0.8270 0.9020 0.7710
U 0.5000 0.0000 0.0000
U 0.5000 0.5000 0.5000
S 0.1352 0.1871 0.9450
S 0.1352 0.3129 0.4450
S 0.2454 0.7009 0.9147
S 0.2454 0.7991 0.4147
S 0.4267 0.0665 0.7597
S 0.4267 0.4335 0.2597
S 0.5733 0.5665 0.7403
S 0.5733 0.9335 0.2403
S 0.7546 0.2009 0.5853
S 0.7546 0.2991 0.0853
S 0.8648 0.6871 0.5550
S 0.8648 0.8129 0.0550

=====

Here is an optimized crystal structure of Ba6Rh2SeBr3 from the Alexandria database. Energies are from PBE.

a = 10.6923 Å, b = 10.6923 Å, c = 9.8101 Å
α = 106.03°, β = 106.03°, γ = 24.80°
Element x y z (fractional)
Ba 0.0167 0.0167 0.2451
Ba 0.3232 0.3232 0.4354
Ba 0.3348 0.3348 0.8829
Ba 0.6652 0.6652 0.1171
Ba 0.6768 0.6768 0.5646
Ba 0.9833 0.9833 0.7549
Rh 0.1641 0.1641 0.3320
Rh 0.8359 0.8359 0.6680
Se 0.5000 0.5000 0.0000
Br 0.1618 0.1618 0.8356
Br 0.5000 0.5000 0.5000
Br 0.8382 0.8382 0.1644

=====

Here is an optimized crystal structure of AcPm3Pr2 from the Alexandria database. Energies are from PBE.

Values from the calculation:
polymorph energy (0 for the lowest one) = 168 meV/atom
ΔE_f = 377 meV per atom

a = 8.2433 Å, b = 8.2433 Å, c = 8.2433 Å
α = 155.28°, β = 100.82°, γ = 84.49°
Element x y z (fractional)
Ac 0.0000 0.0000 0.0000
Pm 0.0892 0.2590 0.8302
Pm 0.4287 0.2590 0.1698
Pm 0.7475 0.2475 0.5000
Pr 0.3437 0.0064 0.3374
Pr 0.6690 0.0064 0.6626

=====

Here is an optimized crystal structure of CrMo2HRu from the Alexandria database. Energies are from PBE.

Values from the calculation:
polymorph energy (0 for the lowest one) = 0 meV/atom

a = 3.9533 Å, b = 3.9533 Å, c = 3.8282 Å
α = 90.00°, β = 90.00°, γ = 90.00°
Element x y z (fractional)
Cr 0.0000 0.0000 0.0000
Mo 0.0000 0.5000 0.5000
Mo 0.5000 0.0000 0.5000
H 0.0000 0.0000 0.5000
Ru 0.5000 0.5000 0.0000

=====

Here is an optimized crystal structure of LiU2PaS5 from the Alexandria database. Energies are from PBE.

a = 8.1730 Å, b = 8.1730 Å, c = 12.3801 Å
α = 90.00°, β = 90.00°, γ = 152.45°
Element x y z (fractional)
Li 0.2128 0.7872 0.5000
Li 0.7872 0.2128 0.0000
U 0.1095 0.8905 0.1755
U 0.1454 0.8546 0.7827
U 0.8546 0.1454 0.2827
U 0.8905 0.1095 0.6755
Pa 0.4720 0.5280 0.9372
Pa 0.5280 0.4720 0.4372
S 0.0651 0.9349 0.5707
S 0.2798 0.7202 0.1548
S 0.3196 0.6804 0.8420
S 0.3643 0.6357 0.4889
S 0.4860 0.5140 0.2393
S 0.5140 0.4860 0.7393
S 0.6357 0.3643 0.9889
S 0.6804 0.3196 0.3420
S 0.7202 0.2798 0.6548
S 0.9349 0.0651 0.0707

=====

Here is an optimized crystal structure of KInC from the Alexandria database. Energies are from PBE.

Values from the calculation:
ΔE_f = 1136 meV per atom

a = 5.9593 Å, b = 6.0778 Å, c = 6.0868 Å
α = 69.98°, β = 88.41°, γ = 72.94°
Element x y z (fractional)
K 0.0000 0.0000 0.0000
K 0.3307 0.2451 0.3673
In 0.4869 0.5864 0.7352
In 0.9400 0.6291 0.6826
C 0.1961 0.7457 0.4558
C 0.2819 0.3327 0.8316

=====

Here is an optimized crystal structure of ScInCu2 from the Alexandria database. Energies are from PBE.

Values from the calculation:
ΔE_f = -189 meV per atom

a = 4.1007 Å, b = 5.2282 Å, c = 5.2282 Å
α = 39.10°, β = 90.00°, γ = 90.00°
Element x y z (fractional)
Sc 0.0000 0.0000 0.0000
In 0.5000 0.3010 0.3010
Cu 0.0000 0.7172 0.7172
Cu 0.5000 0.5775 0.5775

=====

Here is an optimized crystal structure of Ba2TiNb from the Alexandria database. Energies are from PBE.

Values from the calculation:
polymorph energy (0 for the lowest one) = 0 meV/atom
ΔE_f = 1264 meV per atom

a = 5.4988 Å, b = 5.4988 Å, c = 5.4988 Å
α = 60.00°, β = 60.00°, γ = 60.00°
Element x y z (fractional)
Ba 0.2500 0.2500 0.2500
Ba 0.7500 0.7500 0.7500
Ti 0.0000 0.0000 0.0000
Nb 0.5000 0.5000 0.5000

=====

Here is an optimized crystal structure of RbHfSe2N from the Alexandria database. Energies are from PBE.

a = 5.3756 Å, b = 5.3756 Å, c = 4.2841 Å
α = 90.00°, β = 90.00°, γ = 90.00°
Element x y z (fractional)
Rb 0.0000 0.0000 0.0000
Hf 0.5000 0.5000 0.5000
Se 0.0000 0.5000 0.5000
Se 0.5000 0.0000 0.5000
N 0.5000 0.5000 0.0000

=====

Here is an optimized crystal structure of CaSnTePt2 from the Alexandria database. Energies are from PBE.

a = 4.9587 Å, b = 4.9587 Å, c = 5.8967 Å
α = 90.00°, β = 90.00°, γ = 90.00°
Element x y z (fractional)
Ca 0.0000 0.0000 0.0000
Sn 0.0000 0.0000 0.5000
Te 0.5000 0.5000 0.0000
Pt 0.0000 0.5000 0.5000
Pt 0.5000 0.0000 0.5000

=====

What are the E values for these records? In order: -5.3560; -6.4405; -4.6010; -3.9973; -3.1445; -1.8356; -7.5631; -4.1374; -3.3469; -5.2569; -6.6730; -4.1639; -4.2766; -8.6419; -7.3242; -3.2177; -4.5044; -4.1887; -5.8762; -4.0292 eV per atom.